[1]
# Nd2PuCd

An optimized crystal structure of Nd2PuCd (PBE, Alexandria via LeMat-Bulk).

abc: 3.619 3.619 9.154
angles: 90.00 90.00 90.00
Fractional coordinates of all 4 atoms:
Nd 0.000 0.000 0.236
Nd 0.000 0.000 0.764
Pu 0.500 0.500 0.500
Cd 0.500 0.500 0.000

Results
The value obtained for the polymorph energy (0 for the lowest one) is 0.0000 eV per atom. The volume comes out at 120 Å³ per cell. The space group is P4/mmm, No. 123. The formation energy is -0.04 eV per atom. The calculated total energy is -6.24 eV/atom.


[2]
# NdPuCdRh

An optimized crystal structure of NdPuCdRh (PBE, Alexandria via LeMat-Bulk).

abc: 5.153 5.153 5.153
angles: 60.00 60.00 60.00
Fractional coordinates of all 4 atoms:
Nd 0.000 0.000 0.000
Pu 0.500 0.500 0.500
Cd 0.250 0.250 0.250
Rh 0.750 0.750 0.750

Results
The volume comes out at 97 Å³ per cell. The space group is F-43m, No. 216. The formation energy is -0.23 eV per atom. The calculated total energy is -7.07 eV/atom.


[3]
# NdSmPuCd

An optimized crystal structure of NdSmPuCd (PBE, Alexandria via LeMat-Bulk).

abc: 5.504 5.504 5.504
angles: 60.00 60.00 60.00
Fractional coordinates of all 4 atoms:
Nd 0.000 0.000 0.000
Sm 0.500 0.500 0.500
Pu 0.750 0.750 0.750
Cd 0.250 0.250 0.250

Results
The volume comes out at 118 Å³ per cell. The space group is F-43m, No. 216. The formation energy is 0.07 eV per atom. The calculated total energy is -6.12 eV/atom.


[4]
# NdPuThCd

An optimized crystal structure of NdPuThCd (PBE, Alexandria via LeMat-Bulk).

abc: 5.469 5.469 5.469
angles: 60.00 60.00 60.00
Fractional coordinates of all 4 atoms:
Nd 0.000 0.000 0.000
Pu 0.250 0.250 0.250
Th 0.500 0.500 0.500
Cd 0.750 0.750 0.750

Results
The volume comes out at 116 Å³ per cell. The space group is F-43m, No. 216. The formation energy is 0.09 eV per atom. The calculated total energy is -6.77 eV/atom.


- The lowest formation energy belongs to which entry?
  NdPuCdRh


- Which formula does entry 4 have?
  NdPuThCd


- Look up the calculated total energy of the third one.
  -6.12 eV/atom